Entry 1:
YAsIO4: relaxed, PBE.

Space group = C2/m (12)
Size of the total moment = 0.0 μB/f.u.
ρ = 4.7 g cm⁻³
Density of states at the Fermi level = 0.0 states/eV/f.u.
Raw formation energy = -1.86 eV/atom
Energy = -90.98 eV per cell

Cell and atoms, written as CIF:
```
data_YAsIO4
_space_group_name_H-M_alt 'P 1'
_space_group_IT_number 1
_cell_length_a 6.735
_cell_length_b 6.735
_cell_length_c 6.803
_cell_angle_alpha 100.64
_cell_angle_beta 100.64
_cell_angle_gamma 56.66
loop_
_space_group_symop_operation_xyz
'x,y,z'
loop_
_atom_site_label
_atom_site_fract_x
_atom_site_fract_y
_atom_site_fract_z
Y1 0.200 0.200 0.327
Y2 0.800 0.800 0.673
As1 0.134 0.134 0.759
As2 0.866 0.866 0.241
I1 0.467 0.467 0.800
I2 0.533 0.533 0.200
O1 0.011 0.011 0.271
O2 0.024 0.613 0.375
O3 0.201 0.201 0.005
O4 0.387 0.976 0.625
O5 0.613 0.024 0.375
O6 0.799 0.799 0.995
O7 0.976 0.387 0.625
O8 0.989 0.989 0.729
```



Entry 2:
YAsIO2: relaxed, PBE.

Space group = P4/mmm (123)
Size of the total moment = 1.0 μB/f.u.
ρ = 4.3 g cm⁻³
Density of states at the Fermi level = 4.4 states/eV/f.u.
Raw formation energy = -0.89 eV/atom
Energy = -27.01 eV per cell

Cell and atoms, written as CIF:
```
data_YAsIO2
_space_group_name_H-M_alt 'P 1'
_space_group_IT_number 1
_cell_length_a 4.310
_cell_length_b 4.310
_cell_length_c 6.731
_cell_angle_alpha 90.00
_cell_angle_beta 90.00
_cell_angle_gamma 90.00
loop_
_space_group_symop_operation_xyz
'x,y,z'
loop_
_atom_site_label
_atom_site_fract_x
_atom_site_fract_y
_atom_site_fract_z
Y1 0.000 0.000 0.000
As1 0.500 0.500 0.500
I1 0.000 0.000 0.500
O1 0.000 0.500 0.000
O2 0.500 0.000 0.000
```



Entry 3:
YAsI2O: relaxed, PBE.

Space group = P4/mmm (123)
Size of the total moment = 2.1 μB/f.u.
Polymorph energy (0 for the lowest one) = 0.0 meV per atom
ρ = 4.5 g cm⁻³
Density of states at the Fermi level = 3.6 states/eV/f.u.
Raw formation energy = -0.76 eV/atom
Energy = -22.96 eV per cell

Cell and atoms, written as CIF:
```
data_YAsI2O
_space_group_name_H-M_alt 'P 1'
_space_group_IT_number 1
_cell_length_a 6.229
_cell_length_b 6.229
_cell_length_c 4.164
_cell_angle_alpha 90.00
_cell_angle_beta 90.00
_cell_angle_gamma 90.00
loop_
_space_group_symop_operation_xyz
'x,y,z'
loop_
_atom_site_label
_atom_site_fract_x
_atom_site_fract_y
_atom_site_fract_z
Y1 0.000 0.000 0.000
As1 0.500 0.500 0.500
I1 0.000 0.500 0.000
I2 0.500 0.000 0.000
O1 0.000 0.000 0.500
```



Entry 4:
YAsI2O: relaxed, PBE.

Space group = P4/mmm (123)
Size of the total moment = 0.0 μB/f.u.
Polymorph energy (0 for the lowest one) = 380.3 meV per atom
ρ = 5.3 g cm⁻³
Density of states at the Fermi level = 3.2 states/eV/f.u.
Raw formation energy = -0.38 eV/atom
Energy = -21.06 eV per cell

Cell and atoms, written as CIF:
```
data_YAsI2O
_space_group_name_H-M_alt 'P 1'
_space_group_IT_number 1
_cell_length_a 5.979
_cell_length_b 5.979
_cell_length_c 3.817
_cell_angle_alpha 90.00
_cell_angle_beta 90.00
_cell_angle_gamma 90.00
loop_
_space_group_symop_operation_xyz
'x,y,z'
loop_
_atom_site_label
_atom_site_fract_x
_atom_site_fract_y
_atom_site_fract_z
Y1 0.000 0.000 0.000
As1 0.500 0.500 0.500
I1 0.000 0.500 0.500
I2 0.500 0.000 0.500
O1 0.500 0.500 0.000
```



Entry 5:
YAsIO2: relaxed, PBE.

Space group = P4/mmm (123)
Size of the total moment = 0.0 μB/f.u.
ρ = 5.6 g cm⁻³
Density of states at the Fermi level = 2.6 states/eV/f.u.
Raw formation energy = -0.51 eV/atom
Energy = -25.11 eV per cell

Cell and atoms, written as CIF:
```
data_YAsIO2
_space_group_name_H-M_alt 'P 1'
_space_group_IT_number 1
_cell_length_a 4.209
_cell_length_b 4.209
_cell_length_c 5.437
_cell_angle_alpha 90.00
_cell_angle_beta 90.00
_cell_angle_gamma 90.00
loop_
_space_group_symop_operation_xyz
'x,y,z'
loop_
_atom_site_label
_atom_site_fract_x
_atom_site_fract_y
_atom_site_fract_z
Y1 0.000 0.000 0.000
As1 0.500 0.500 0.500
I1 0.500 0.500 0.000
O1 0.000 0.500 0.500
O2 0.500 0.000 0.500
```



Entry 6:
ZnAsIO2: relaxed, PBE.

Space group = P4/mmm (123)
Size of the total moment = 0.0 μB/f.u.
Polymorph energy (0 for the lowest one) = 0.0 meV per atom
ρ = 4.9 g cm⁻³
Density of states at the Fermi level = 1.6 states/eV/f.u.
Raw formation energy = -0.22 eV/atom
Energy = -18.50 eV per cell

Cell and atoms, written as CIF:
```
data_ZnAsIO2
_space_group_name_H-M_alt 'P 1'
_space_group_IT_number 1
_cell_length_a 3.863
_cell_length_b 3.863
_cell_length_c 6.801
_cell_angle_alpha 90.00
_cell_angle_beta 90.00
_cell_angle_gamma 90.00
loop_
_space_group_symop_operation_xyz
'x,y,z'
loop_
_atom_site_label
_atom_site_fract_x
_atom_site_fract_y
_atom_site_fract_z
Zn1 0.000 0.000 0.000
As1 0.500 0.500 0.500
I1 0.500 0.500 0.000
O1 0.000 0.500 0.500
O2 0.500 0.000 0.500
```